[1]
The following is a DFT calculation (PBE-GGA) of Zn2CrTcSn after structural relaxation.

Summary:
* SG: P4/mmm (123)
* crystal system: tetragonal
* N(E_F): 0.88 states/eV per atom
* theoretical density: 5.31 g/cm³
* ΔH_f (0 K): 1.587 eV per atom

Cell lengths 4.954, 5.094, 4.954 Å; angles 90.00, 90.00, 90.00 degrees
Last column: magnetic moment on the atom in μB.
Fractional coordinates of all 5 atoms:
1 Cr 0.000 0.500 0.000  3.66
2 Zn 0.000 0.000 0.500  -0.04
3 Zn 0.500 0.000 0.000  -0.03
4 Sn 0.000 0.000 0.000  0.01
5 Tc 0.500 0.500 0.500  3.28

=====

[2]
The following is a DFT calculation (PBE-GGA) of ZrCrTc2Sn after structural relaxation.

Summary:
* SG: P4/mmm (123)
* crystal system: tetragonal
* N(E_F): 1.23 states/eV per atom
* theoretical density: 6.40 g/cm³
* ΔH_f (0 K): 2.094 eV per atom

Cell lengths 4.722, 5.328, 4.722 Å; angles 90.00, 90.00, 90.00 degrees
Last column: magnetic moment on the atom in μB.
Fractional coordinates of all 5 atoms:
1 Cr 0.500 0.500 0.500  0.38
2 Sn 0.000 0.500 0.000  -0.02
3 Zr 0.000 0.000 0.000  -0.07
4 Tc 0.000 0.000 0.500  0.72
5 Tc 0.500 0.000 0.000  0.73

=====

[3]
The following is a DFT calculation (PBE-GGA) of CrSnTe3 after structural relaxation.

Summary:
* SG: Pm-3m (221)
* crystal system: cubic
* N(E_F): 0.76 states/eV per atom
* theoretical density: 6.30 g/cm³
* DFT total energy: -4.411 eV per atom

Cell lengths 5.265, 5.265, 5.265 Å; angles 90.00, 90.00, 90.00 degrees
Last column: magnetic moment on the atom in μB.
Fractional coordinates of all 5 atoms:
1 Cr 0.000 0.000 0.000  2.93
2 Te 0.000 0.500 0.000  -0.09
3 Te 0.000 0.000 0.500  -0.09
4 Te 0.500 0.000 0.000  -0.11
5 Sn 0.500 0.500 0.500  0.10

=====

[4]
The following is a DFT calculation (PBE-GGA) of Cr3SnTe after structural relaxation.

Summary:
* SG: Pm-3m (221)
* relative energy among the computed polymorphs: 0 meV/atom
* crystal system: cubic
* N(E_F): 0.05 states/eV per atom
* theoretical density: 5.04 g/cm³

Cell lengths 5.099, 5.099, 5.099 Å; angles 90.00, 90.00, 90.00 degrees
Last column: magnetic moment on the atom in μB.
Fractional coordinates of all 5 atoms:
1 Cr 0.000 0.500 0.000  3.75
2 Cr 0.000 0.000 0.500  3.90
3 Cr 0.500 0.000 0.000  3.79
4 Te 0.000 0.000 0.000  -0.10
5 Sn 0.500 0.500 0.500  -0.28